1.
The following is a PBE-GGA calculation of a relaxed Pm5YHo8 crystal, from the Alexandria database.

Its formation energy from the elements is 240 meV per atom.

The structure belongs to space group I-4 (No. 82); the cell edges are 9.601, 9.601 and 10.088 Å and the angles 90.00°, 90.00° and 90.00°. Symmetry generates all atoms from Pm at (0.000, 0.000, 0.000), Pm at (0.110, 0.214, 0.422), Y at (0.000, 0.500, 0.750), Ho at (0.071, 0.325, 0.095) and Ho at (0.087, 0.175, 0.753).

***

2.
The following is a PBE-GGA calculation of a relaxed Pu2Th2Ru3 crystal, from the Alexandria database.

Its formation energy from the elements is -201 meV per atom.

The structure belongs to space group C2/m (No. 12); the cell edges are 10.786, 4.372 and 7.424 Å and the angles 90.00°, 100.29° and 90.00°. Symmetry generates all atoms from Pu at (0.137, 0.000, 0.418), Th at (0.128, 0.500, 0.862), Ru at (0.000, 0.500, 0.500) and Ru at (0.182, 0.500, 0.216).

***

3.
The following is a PBE-GGA calculation of a relaxed ZnBiPCl2 crystal, from the Alexandria database.

The calculation puts the formation energy from raw total energies at 345 meV per atom. The distance to the lowest polymorph of the same formula is 385 meV per atom.

The structure belongs to space group P4/mmm (No. 123); the cell edges are 5.436, 5.436 and 5.837 Å and the angles 90.00°, 90.00° and 90.00°. Symmetry generates all atoms from Zn at (0.000, 0.000, 0.000), Bi at (0.000, 0.000, 0.500), P at (0.500, 0.500, 0.000) and Cl at (0.000, 0.500, 0.500).

***

4.
The following is a PBE-GGA calculation of a relaxed KBeZn2 crystal, from the Alexandria database.

Its formation energy from the elements is 751 meV per atom.

The structure belongs to space group P4/mmm (No. 123); the cell edges are 4.502, 4.502 and 4.385 Å and the angles 90.00°, 90.00° and 90.00°. Symmetry generates all atoms from K at (0.000, 0.000, 0.000), Be at (0.500, 0.500, 0.000) and Zn at (0.000, 0.500, 0.500).

***

5.
The following is a PBE-GGA calculation of a relaxed LiPmDy2 crystal, from the Alexandria database.

Its formation energy from the elements is 205 meV per atom. The distance to the lowest polymorph of the same formula is 130 meV per atom.

The structure belongs to space group Fm-3m (No. 225); the cell edges are 7.815, 7.815 and 7.815 Å and the angles 90.00°, 90.00° and 90.00°. Symmetry generates all atoms from Li at (0.000, 0.000, 0.000), Pm at (0.000, 0.000, 0.500) and Dy at (0.250, 0.250, 0.250).

***

6.
The following is a PBE-GGA calculation of a relaxed TiAlP3 crystal, from the Alexandria database.

Its formation energy from the elements is 313 meV per atom. The distance to the lowest polymorph of the same formula is 0 meV per atom.

The structure belongs to space group Pm-3m (No. 221); the cell edges are 4.686, 4.686 and 4.686 Å and the angles 90.00°, 90.00° and 90.00°. Symmetry generates all atoms from Ti at (0.000, 0.000, 0.000), Al at (0.500, 0.500, 0.500) and P at (0.000, 0.000, 0.500).

***

7.
The following is a PBE-GGA calculation of a relaxed YErSbS crystal, from the Alexandria database.

The calculation puts the formation energy from raw total energies at -1363 meV per atom.

The structure belongs to space group R3m (No. 160, hexagonal axes); the cell edges are 4.0390, 4.0390 and 21.8900 Å and the angles 90.00°, 90.00° and 120.00°. Symmetry generates all atoms from Y at (0.0000, 0.0000, 0.0000), Er at (0.0000, 0.0000, 0.1613), Sb at (0.0000, 0.0000, 0.5788) and S at (0.0000, 0.0000, 0.7509).

***

8.
The following is a PBE-GGA calculation of a relaxed GeSbTePd crystal, from the Alexandria database.

The calculation puts the formation energy from raw total energies at -124 meV per atom. The distance to the lowest polymorph of the same formula is 24 meV per atom.

The structure belongs to space group R3m (No. 160, hexagonal axes); the cell edges are 4.0423, 4.0423 and 19.6936 Å and the angles 90.00°, 90.00° and 120.00°. Symmetry generates all atoms from Ge at (0.0000, 0.0000, 0.0000), Sb at (0.0000, 0.0000, 0.7556), Te at (0.0000, 0.0000, 0.2427) and Pd at (0.0000, 0.0000, 0.4956).

***

Please write out number 1 again, unchanged.
The following is a PBE-GGA calculation of a relaxed Pm5YHo8 crystal, from the Alexandria database.

Its formation energy from the elements is 240 meV per atom.

The structure belongs to space group I-4 (No. 82); the cell edges are 9.601, 9.601 and 10.088 Å and the angles 90.00°, 90.00° and 90.00°. Symmetry generates all atoms from Pm at (0.000, 0.000, 0.000), Pm at (0.110, 0.214, 0.422), Y at (0.000, 0.500, 0.750), Ho at (0.071, 0.325, 0.095) and Ho at (0.087, 0.175, 0.753).